VASP calculation (PBE) on crystalline Li2U2NiS6 at its relaxed geometry.

raw formation energy = -1171 kJ/mol of formula units
space-group type = C2/m, No. 12

abc: 6.5476 6.5476 6.4831
angles: 98.72 98.72 120.82
Site moments in Bohr magnetons follow the coordinates.
Atoms (fractional coordinates):
Li 0.8367 0.1633 0.0000  0.00
Li 0.1633 0.8367 0.0000  0.00
U 0.3374 0.6626 0.5000  1.77
U 0.6626 0.3374 0.5000  1.77
Ni 0.0000 0.0000 0.5000  0.79
S 0.7789 0.7789 0.7300  -0.02
S 0.0715 0.4097 0.7437  -0.03
S 0.2211 0.2211 0.2700  -0.02
S 0.4097 0.0715 0.7437  -0.03
S 0.9285 0.5903 0.2563  -0.03
S 0.5903 0.9285 0.2563  -0.03

=====

VASP calculation (PBE) on crystalline Li2UNi3S6 at its relaxed geometry.

raw formation energy = -886 kJ/mol of formula units
space-group type = C2/m, No. 12

abc: 6.2577 6.2577 5.9810
angles: 100.05 100.05 120.23
Site moments in Bohr magnetons follow the coordinates.
Atoms (fractional coordinates):
Li 0.3315 0.6685 0.0000  0.02
Li 0.6685 0.3315 0.0000  0.02
U 0.0000 0.0000 0.0000  -0.37
Ni 0.1585 0.8415 0.5000  0.98
Ni 0.8415 0.1585 0.5000  0.98
Ni 0.5000 0.5000 0.5000  0.97
S 0.9090 0.5751 0.7235  0.14
S 0.7542 0.7542 0.2701  0.16
S 0.0910 0.4249 0.2765  0.14
S 0.5751 0.9090 0.7235  0.14
S 0.2458 0.2458 0.7299  0.16
S 0.4249 0.0910 0.2765  0.14

=====

VASP calculation (PBE) on crystalline Li3Zr2NiS6 at its relaxed geometry.

raw formation energy = -1448 kJ/mol of formula units
space-group type = C2/m, No. 12

abc: 6.2939 6.2939 6.4541
angles: 99.36 99.36 120.04
Site moments in Bohr magnetons follow the coordinates.
Atoms (fractional coordinates):
Li 0.1684 0.8316 0.5000  0.00
Li 0.8316 0.1684 0.5000  0.00
Li 0.5000 0.5000 0.5000  0.00
Zr 0.3336 0.6664 0.0000  -0.07
Zr 0.6664 0.3336 0.0000  -0.07
Ni 0.0000 0.0000 0.0000  0.95
S 0.9195 0.5928 0.7590  0.04
S 0.7545 0.7545 0.2404  0.04
S 0.0805 0.4072 0.2410  0.04
S 0.5928 0.9195 0.7590  0.04
S 0.2455 0.2455 0.7596  0.04
S 0.4072 0.0805 0.2410  0.04

=====

VASP calculation (PBE) on crystalline Li3Zr3NiS8 at its relaxed geometry.

raw formation energy = -1874 kJ/mol of formula units
space-group type = R-3m, No. 166

abc: 7.2408 7.2406 7.4746
angles: 118.97 90.00 120.00
Site moments in Bohr magnetons follow the coordinates.
Atoms (fractional coordinates):
Li 0.0000 0.0000 0.0000  0.00
Li 0.0000 0.5000 0.0000  0.00
Li 0.5000 0.5000 0.0000  0.00
Zr 0.5000 0.0000 0.5000  0.03
Zr 0.5000 0.5000 0.5000  0.03
Zr 0.0000 0.5000 0.5000  0.03
Ni 0.0000 0.0000 0.5000  1.21
S 0.2501 0.5001 0.2502  0.00
S 0.7499 0.4999 0.7498  0.00
S 0.7614 0.5228 0.2659  0.07
S 0.2386 0.4772 0.7341  0.07
S 0.7612 0.0045 0.2657  0.07
S 0.2388 0.9955 0.7343  0.07
S 0.2433 0.0045 0.2657  0.07
S 0.7567 0.9955 0.7343  0.07